(1)
A relaxed ZnIrPb crystal, computed with PBE-GGA.

The value obtained for the magnetization is 0.00 μB/f.u. Its formation energy from the elements is 0.3095 eV per atom. As for the energy above the most stable polymorph in this dataset: 180 meV/atom. The symmetry is No. 156. The value obtained for the energy is -4.30 eV/atom.

abc: 3.1657 3.1657 6.7901
angles: 90.00 90.00 120.00
With the nearest neighbours (Å) after each atom.
Atoms (fractional coordinates):
Zn  0.0000  0.0000  0.0000  3 Ir 2.59
Ir  0.6667  0.3333  0.2695  3 Zn 2.59, 3 Pb 2.89
Pb  0.3333  0.6667  0.5993  3 Ir 2.89, 6 Pb 3.17



(2)
A relaxed ScNbNiP2 crystal, computed with PBE-GGA.

The value obtained for the magnetization is 0.65 μB/f.u. Its formation energy from the elements is 0.3209 eV per atom. The symmetry is No. 123. The value obtained for the energy is -6.28 eV/atom.

abc: 4.4157 4.4157 4.3880
angles: 90.00 90.00 90.00
With the nearest neighbours (Å) after each atom.
Atoms (fractional coordinates):
Sc  0.0000  0.0000  0.0000  2 Ni 2.19
Nb  0.5000  0.5000  0.0000  8 P 3.11, 4 Sc 3.12
Ni  0.0000  0.0000  0.5000  2 Sc 2.19, 4 P 2.21
P  0.0000  0.5000  0.5000  2 Ni 2.21
P  0.5000  0.0000  0.5000  2 Ni 2.21



(3)
A relaxed Sm3Y2Er9 crystal, computed with PBE-GGA.

The value obtained for the magnetization is 0.00 μB/f.u. Its formation energy from the elements is 0.1173 eV per atom. The symmetry is No. 2. The value obtained for the energy is -4.75 eV/atom.

abc: 6.2186 8.7091 8.7158
angles: 79.24 86.09 77.53
With the nearest neighbours (Å) after each atom.
Atoms (fractional coordinates):
Sm  0.0000  0.0000  0.0000  2 Y 3.42, 6 Er 3.45-3.74
Sm  0.2568  0.2718  0.3846  9 Er 3.31-3.63, 1 Y 3.46
Sm  0.7432  0.7282  0.6154  9 Er 3.31-3.63, 1 Y 3.46
Y  0.4521  0.7022  0.9690  1 Y 3.39, 8 Er 3.40-3.63, 2 Sm 3.42-3.46
Y  0.5479  0.2978  0.0310  1 Y 3.39, 8 Er 3.40-3.63, 2 Sm 3.42-3.46
Er  0.0000  0.5000  0.0000  4 Er 3.48-3.62, 4 Y 3.48-3.60, 2 Sm 3.82
Er  0.0961  0.6919  0.3156  3 Sm 3.31-3.53, 6 Er 3.41-3.62, 1 Y 3.62
Er  0.1858  0.8951  0.6194  5 Er 3.23-3.61, 2 Sm 3.38-3.46, 1 Y 3.52
Er  0.3459  0.4918  0.6689  7 Er 3.39-3.52, 2 Y 3.47-3.63, 2 Sm 3.50-3.54
Er  0.4902  0.9163  0.2510  4 Er 3.24-3.61, 2 Y 3.40-3.59, 2 Sm 3.50-3.59
Er  0.5098  0.0837  0.7490  4 Er 3.24-3.61, 2 Y 3.40-3.59, 2 Sm 3.50-3.59
Er  0.6541  0.5082  0.3311  7 Er 3.39-3.52, 2 Y 3.47-3.63, 2 Sm 3.50-3.54
Er  0.8142  0.1049  0.3806  5 Er 3.23-3.61, 2 Sm 3.38-3.46, 1 Y 3.52
Er  0.9039  0.3081  0.6844  3 Sm 3.31-3.53, 6 Er 3.41-3.62, 1 Y 3.62



(4)
A relaxed PaIn2Cl7 crystal, computed with PBE-GGA.

The value obtained for the magnetization is 0.00 μB/f.u. The symmetry is No. 15. The value obtained for the energy is -4.23 eV/atom.

abc: 9.6426 9.6426 12.0493
angles: 126.06 126.06 52.01
With the nearest neighbours (Å) after each atom.
Atoms (fractional coordinates):
Pa  0.1129  0.8871  0.7500  7 Cl 2.59-2.72
Pa  0.8871  0.1129  0.2500  7 Cl 2.59-2.72
In  0.2544  0.3538  0.1943  5 Cl 3.02-3.34
In  0.3538  0.2544  0.6943  5 Cl 3.02-3.34
In  0.6462  0.7456  0.3057  5 Cl 3.02-3.34
In  0.7456  0.6462  0.8057  5 Cl 3.02-3.34
Cl  0.0161  0.6568  0.7126  1 Pa 2.62
Cl  0.0256  0.7320  0.1144  1 Pa 2.72, 1 In 3.02
Cl  0.0693  0.7509  0.4767  1 Pa 2.59
Cl  0.2491  0.9307  0.0233  1 Pa 2.59
Cl  0.2680  0.9744  0.3856  1 Pa 2.72, 1 In 3.02
Cl  0.3432  0.9839  0.7874  1 Pa 2.62
Cl  0.4291  0.5709  0.7500  1 Pa 2.67
Cl  0.5709  0.4291  0.2500  1 Pa 2.67
Cl  0.6568  0.0161  0.2126  1 Pa 2.62
Cl  0.7320  0.0256  0.6145  1 Pa 2.72, 1 In 3.02
Cl  0.7509  0.0693  0.9767  1 Pa 2.59
Cl  0.9307  0.2491  0.5233  1 Pa 2.59
Cl  0.9744  0.2680  0.8856  1 Pa 2.72, 1 In 3.02
Cl  0.9839  0.3432  0.2874  1 Pa 2.62



(5)
A relaxed Pr8AgAu2 crystal, computed with PBE-GGA.

The value obtained for the magnetization is 0.00 μB/f.u. Its formation energy from the elements is -0.1957 eV per atom. As for the energy above the most stable polymorph in this dataset: 110 meV/atom. The symmetry is No. 8. The value obtained for the energy is -4.53 eV/atom.

abc: 8.3933 8.3933 5.8502
angles: 100.02 100.02 115.92
With the nearest neighbours (Å) after each atom.
Atoms (fractional coordinates):
Pr  0.0000  0.0000  0.0000  2 Au 3.29, 1 Ag 3.29, 4 Pr 3.39-3.67
Pr  0.0680  0.3027  0.6010  2 Au 3.04-3.18, 1 Pr 3.34
Pr  0.1608  0.6206  0.1891  2 Au 3.11, 1 Ag 3.27
Pr  0.3027  0.0680  0.6010  2 Au 3.04-3.18, 1 Pr 3.34
Pr  0.4785  0.7131  0.7770  2 Au 3.04-3.18, 1 Pr 3.34
Pr  0.6206  0.1608  0.1891  2 Au 3.11, 1 Ag 3.27
Pr  0.7131  0.4785  0.7770  2 Au 3.04-3.18, 1 Pr 3.34
Pr  0.7816  0.7816  0.3785  2 Au 3.28, 1 Ag 3.29, 4 Pr 3.39-3.67
Ag  0.3909  0.3909  0.1904  4 Pr 3.27-3.29
Au  0.0856  0.6955  0.6890  8 Pr 3.04-3.29
Au  0.6955  0.0856  0.6890  8 Pr 3.04-3.29



(6)
A relaxed KZnCu crystal, computed with PBE-GGA.

The value obtained for the magnetization is 0.00 μB/f.u. Its formation energy from the elements is 0.7124 eV per atom. As for the energy above the most stable polymorph in this dataset: 588 meV/atom. The symmetry is No. 216. The value obtained for the energy is -1.44 eV/atom.

abc: 7.6001 7.6001 7.6001
angles: 90.00 90.00 90.00
With the nearest neighbours (Å) after each atom.
Atoms (fractional coordinates):
K  0.0000  0.0000  0.0000  4 Zn 3.29, 4 Cu 3.29
K  0.0000  0.5000  0.5000  4 Zn 3.29, 4 Cu 3.29
K  0.5000  0.0000  0.5000  4 Zn 3.29, 4 Cu 3.29
K  0.5000  0.5000  0.0000  4 Zn 3.29, 4 Cu 3.29
Zn  0.2500  0.2500  0.7500  4 K 3.29
Zn  0.2500  0.7500  0.2500  4 K 3.29
Zn  0.7500  0.2500  0.2500  4 K 3.29
Zn  0.7500  0.7500  0.7500  4 K 3.29
Cu  0.2500  0.2500  0.2500  4 K 3.29
Cu  0.2500  0.7500  0.7500  4 K 3.29
Cu  0.7500  0.2500  0.7500  4 K 3.29
Cu  0.7500  0.7500  0.2500  4 K 3.29



(7)
A relaxed LiThAlPt crystal, computed with PBE-GGA.

The value obtained for the magnetization is 0.00 μB/f.u. Its formation energy from the elements is -0.7152 eV per atom. The symmetry is No. 216. The value obtained for the energy is -5.49 eV/atom.

abc: 6.7968 6.7968 6.7968
angles: 90.00 90.00 90.00
With the nearest neighbours (Å) after each atom.
Atoms (fractional coordinates):
Li  0.0000  0.0000  0.0000  4 Al 2.94, 4 Th 2.94
Li  0.0000  0.5000  0.5000  4 Al 2.94, 4 Th 2.94
Li  0.5000  0.0000  0.5000  4 Al 2.94, 4 Th 2.94
Li  0.5000  0.5000  0.0000  4 Al 2.94, 4 Th 2.94
Th  0.2500  0.2500  0.7500  4 Li 2.94, 4 Pt 2.94
Th  0.2500  0.7500  0.2500  4 Li 2.94, 4 Pt 2.94
Th  0.7500  0.2500  0.2500  4 Li 2.94, 4 Pt 2.94
Th  0.7500  0.7500  0.7500  4 Li 2.94, 4 Pt 2.94
Al  0.2500  0.2500  0.2500  4 Li 2.94, 4 Pt 2.94
Al  0.2500  0.7500  0.7500  4 Li 2.94, 4 Pt 2.94
Al  0.7500  0.2500  0.7500  4 Li 2.94, 4 Pt 2.94
Al  0.7500  0.7500  0.2500  4 Li 2.94, 4 Pt 2.94
Pt  0.0000  0.0000  0.5000  4 Th 2.94, 4 Al 2.94
Pt  0.0000  0.5000  0.0000  4 Th 2.94, 4 Al 2.94
Pt  0.5000  0.0000  0.0000  4 Th 2.94, 4 Al 2.94
Pt  0.5000  0.5000  0.5000  4 Th 2.94, 4 Al 2.94



(8)
A relaxed GaBi6O12 crystal, computed with PBE-GGA.

The value obtained for the magnetization is 0.00 μB/f.u. The symmetry is No. 148. The value obtained for the energy is -5.65 eV/atom.

abc: 6.6522 6.6522 6.6522
angles: 98.99 98.99 98.99
With the nearest neighbours (Å) after each atom.
Atoms (fractional coordinates):
Ga  0.0000  0.0000  0.0000  6 O 2.05
Bi  0.1318  0.2851  0.5981  6 O 2.25-2.51
Bi  0.2851  0.5981  0.1318  6 O 2.25-2.51
Bi  0.4019  0.8682  0.7149  6 O 2.25-2.51
Bi  0.5981  0.1318  0.2851  6 O 2.25-2.51
Bi  0.7149  0.4019  0.8682  6 O 2.25-2.51
Bi  0.8682  0.7149  0.4019  6 O 2.25-2.51
O  0.0399  0.9378  0.6983  1 Ga 2.05, 1 Bi 2.29
O  0.0622  0.3017  0.9601  1 Ga 2.05, 1 Bi 2.29
O  0.1747  0.5695  0.4315  3 Bi 2.25-2.38
O  0.3017  0.9601  0.0622  1 Ga 2.05, 1 Bi 2.29
O  0.4305  0.5685  0.8253  3 Bi 2.25-2.38
O  0.4315  0.1747  0.5695  3 Bi 2.25-2.38
O  0.5685  0.8253  0.4305  3 Bi 2.25-2.38
O  0.5695  0.4315  0.1747  3 Bi 2.25-2.38
O  0.6983  0.0399  0.9378  1 Ga 2.05, 1 Bi 2.29
O  0.8253  0.4305  0.5685  3 Bi 2.25-2.38
O  0.9378  0.6983  0.0399  1 Ga 2.05, 1 Bi 2.29
O  0.9601  0.0622  0.3017  1 Ga 2.05, 1 Bi 2.29



(9)
A relaxed Ba3CrPb crystal, computed with PBE-GGA.

The value obtained for the magnetization is 5.71 μB/f.u. Its formation energy from the elements is 0.4240 eV per atom. As for the energy above the most stable polymorph in this dataset: 0 meV/atom. The symmetry is No. 221. The value obtained for the energy is -3.40 eV/atom.

abc: 6.7411 6.7411 6.7411
angles: 90.00 90.00 90.00
With the nearest neighbours (Å) after each atom.
Atoms (fractional coordinates):
Ba  0.0000  0.0000  0.5000  2 Pb 3.37
Ba  0.0000  0.5000  0.0000  2 Pb 3.37
Ba  0.5000  0.0000  0.0000  2 Pb 3.37
Cr  0.5000  0.5000  0.5000  12 Ba 4.77
Pb  0.0000  0.0000  0.0000  6 Ba 3.37